Computed, not measured: a geometry-optimized KPuVF6 structure at the PBE+U level of DFT.

Output
VASP energy = -61.9 eV/f.u.
Magnetic moment = 8.00 μB/f.u.

```
data_KPuVF6
_chemical_formula_sum 'K4 Pu4 V4 F24'
_space_group_name_H-M_alt 'I m m a'
_space_group_IT_number 74
_space_group_name_Hall '-I 2b 2'
_cell_length_a 7.368
_cell_length_b 7.788
_cell_length_c 10.677
_cell_angle_alpha 90.00
_cell_angle_beta 90.00
_cell_angle_gamma 90.00
loop_
_atom_site_label
_atom_site_type_symbol
_atom_site_fract_x
_atom_site_fract_y
_atom_site_fract_z
K1 K 0.000 0.250 0.078
Pu1 Pu 0.000 0.000 0.500
V1 V 0.250 0.250 0.750
F1 F 0.000 0.250 0.384
F2 F 0.000 0.250 0.655
F3 F 0.226 0.054 0.885
```